Density functional theory data (GGA-PBE) for a geometry-optimized Th2HgRh3 structure. Values from VASP.

Properties
The calculated volume comes out at 568.8 Å³/cell. The formation energy comes out at -0.459 eV/atom.

Geometry as Quantum ESPRESSO input:
```
&SYSTEM
  ibrav = 0, nat = 24, ntyp = 3
/
ATOMIC_SPECIES
Th 232.04 Th.upf
Hg 200.59 Hg.upf
Rh 102.91 Rh.upf
CELL_PARAMETERS angstrom
-5.5378 -6.2551 -4.0865
3.2266 -8.5045 -1.9375
-3.0649 -7.3443 4.8125
ATOMIC_POSITIONS crystal
Th 0.6903 0.2699 0.2699
Th 0.2699 0.2699 0.2699
Th 0.7301 0.7301 0.7301
Th 0.2699 0.2699 0.6903
Th 0.2699 0.6903 0.2699
Th 0.3097 0.7301 0.7301
Th 0.7301 0.7301 0.3097
Th 0.7301 0.3097 0.7301
Hg 0.0000 0.0000 0.0000
Hg 0.0000 0.0000 0.5000
Hg 0.0000 0.5000 0.0000
Hg 0.5000 0.0000 0.0000
Rh 0.1230 0.6270 0.6270
Rh 0.3730 0.8770 0.8770
Rh 0.6270 0.1230 0.6270
Rh 0.3730 0.3730 0.8770
Rh 0.1230 0.6270 0.1230
Rh 0.8770 0.3730 0.3730
Rh 0.8770 0.8770 0.3730
Rh 0.6270 0.1230 0.1230
Rh 0.8770 0.3730 0.8770
Rh 0.6270 0.6270 0.1230
Rh 0.1230 0.1230 0.6270
Rh 0.3730 0.8770 0.3730
```